This record from the Alexandria database describes a geometry-optimized CrPW2 structure. The functional is GGA-PBE.

Structure (extended XYZ):
```
8
Lattice="3.7157 0.0000 0.0000 0.0000 3.7157 0.0000 1.8578 1.8578 9.1475" Properties=species:S:1:pos:R:3 pbc="T T T"
Cr 3.7157 1.8578 4.5737
Cr 0.0000 0.0000 0.0000
W 0.9554 2.7867 2.2869
W 4.6446 4.6181 6.8606
W 2.7603 0.9289 2.2869
W 2.7867 2.8132 6.8606
P 1.8578 1.8578 0.0000
P 1.8578 3.7157 4.5737
```

Results
Calculated volume, Å³ per cell: 126.29
Space group: I-42d

=====

This record from the Alexandria database describes a geometry-optimized Cr2PW structure. The functional is GGA-PBE.

Structure (extended XYZ):
```
4
Lattice="7.9009 0.0074 0.0044 7.3976 2.7749 0.0044 7.3976 1.3454 2.4269" Properties=species:S:1:pos:R:3 pbc="T T T"
Cr 22.5136 4.0945 2.4161
Cr 5.6668 1.0306 0.6081
P 11.4834 2.0884 1.2324
W 17.0763 3.1056 1.8326
```

Results
Calculated volume, Å³ per cell: 52.98
Space group: R3m

=====

This record from the Alexandria database describes a geometry-optimized Cr2PW structure. The functional is GGA-PBE.

Structure (extended XYZ):
```
4
Lattice="-1.3277 4.0772 2.0736 -3.1618 -1.7886 -3.1225 -1.9845 -0.6724 1.7623" Properties=species:S:1:pos:R:3 pbc="T T T"
W -2.2447 1.1443 -0.5245
Cr -1.6561 1.7024 1.9180
Cr 0.0000 0.0000 0.0000
P -2.5731 -1.2305 -0.6801
```

Results
Calculated volume, Å³ per cell: 52.00
Space group: C2/m

=====

This record from the Alexandria database describes a geometry-optimized Cr2P2W structure. The functional is GGA-PBE.

Structure (extended XYZ):
```
10
Lattice="6.6020 0.0000 0.0000 0.0000 6.6020 0.0000 0.0000 0.0000 2.8676" Properties=species:S:1:pos:R:3 pbc="T T T"
Cr 0.9367 4.2377 1.4338
Cr 2.3643 0.9367 1.4338
Cr 4.2377 5.6653 1.4338
Cr 5.6653 2.3643 1.4338
P 0.9918 2.3093 0.0000
P 2.3093 5.6103 0.0000
P 4.2928 0.9918 0.0000
P 5.6103 4.2928 0.0000
W 0.0000 0.0000 0.0000
W 3.3010 3.3010 0.0000
```

Results
Calculated volume, Å³ per cell: 124.99
Space group: P4/mbm

=====

This record from the Alexandria database describes a geometry-optimized Cr2PW structure. The functional is GGA-PBE.

Structure (extended XYZ):
```
4
Lattice="3.0769 0.0000 0.0000 0.0000 3.9624 0.0000 0.0000 0.0000 4.2651" Properties=species:S:1:pos:R:3 pbc="T T T"
W 0.0000 1.9812 2.1325
P 1.5384 0.0000 2.1325
Cr 0.0000 0.0000 0.0000
Cr 1.5384 1.9812 0.0000
```

Results
Calculated volume, Å³ per cell: 52.00
Space group: Pmmm

=====

This record from the Alexandria database describes a geometry-optimized Cr2PW structure. The functional is GGA-PBE.

Structure (extended XYZ):
```
4
Lattice="-1.1884 -1.6051 -1.8576 2.4767 0.7091 -0.8959 2.9090 -5.9815 3.3077" Properties=species:S:1:pos:R:3 pbc="T T T"
Cr 1.4036 -2.0097 -0.5131
Cr 0.0456 -0.0937 0.0518
W 2.8023 -4.8858 1.0773
P 1.4002 -2.8791 1.5921
```

Results
Calculated volume, Å³ per cell: 52.26
Space group: Cmm2

=====

This record from the Alexandria database describes a geometry-optimized CrP4W structure. The functional is GGA-PBE.

Structure (extended XYZ):
```
6
Lattice="0.0000 3.4620 3.4620 3.4620 0.0000 3.4620 3.4620 3.4620 0.0000" Properties=species:S:1:pos:R:3 pbc="T T T"
Cr 0.0000 0.0000 0.0000
P 4.3271 4.3271 2.5969
P 4.3271 2.5969 4.3271
P 2.5969 4.3271 4.3271
P 2.5969 2.5969 2.5969
W 5.1930 5.1930 5.1930
```

Results
Calculated volume, Å³ per cell: 82.99
Space group: F-43m

=====

This record from the Alexandria database describes a geometry-optimized Cr2PW structure. The functional is GGA-PBE.

Structure (extended XYZ):
```
4
Lattice="-1.4274 -2.2689 -3.1635 0.4015 -4.1265 0.0610 -3.3416 -2.4008 0.5123" Properties=species:S:1:pos:R:3 pbc="T T T"
P -2.1837 -4.3981 -1.2951
Cr -1.0919 -2.1990 -0.6476
Cr 0.0000 0.0000 0.0000
W -3.2756 -6.5971 -1.9427
```

Results
Calculated volume, Å³ per cell: 50.41
Space group: F-43m

=====

This record from the Alexandria database describes a geometry-optimized CrPW2 structure. The functional is GGA-PBE.

Structure (extended XYZ):
```
4
Lattice="3.0967 0.0000 0.0000 0.0000 3.0967 0.0000 0.0000 0.0000 5.8206" Properties=species:S:1:pos:R:3 pbc="T T T"
P 1.5483 1.5483 4.3335
Cr 0.0000 0.0000 2.9320
W 0.0000 0.0000 5.6273
W 1.5483 1.5483 1.6586
```

Results
Calculated volume, Å³ per cell: 55.82
Space group: P4mm

=====

This record from the Alexandria database describes a geometry-optimized CrP8W3 structure. The functional is GGA-PBE.

Structure (extended XYZ):
```
12
Lattice="-3.7764 -1.0251 2.2492 -2.4915 -3.6244 1.0139 6.0234 -2.3665 11.2448" Properties=species:S:1:pos:R:3 pbc="T T T"
P -1.9904 -5.2640 9.0055
P -2.4571 -3.4655 4.7360
P 1.6095 -5.2686 12.7599
P 2.1632 -3.5500 9.7195
P 1.8262 -1.7843 5.6539
P -3.8820 -4.6932 5.8369
P -1.8876 -1.7363 1.6898
P 3.6172 -2.2996 8.6012
W -0.5547 -6.5109 13.1226
W -0.3566 -3.0173 5.9778
W 0.2850 -0.4967 1.3416
Cr 0.1601 -4.0096 8.6032
```

Results
Calculated volume, Å³ per cell: 172.23
Space group: Cm

=====

This record from the Alexandria database describes a geometry-optimized CrPW2 structure. The functional is GGA-PBE.

Structure (extended XYZ):
```
4
Lattice="7.9422 -0.0109 -0.0064 7.4028 2.8770 -0.0064 7.4028 1.3827 2.5229" Properties=species:S:1:pos:R:3 pbc="T T T"
Cr 5.6869 1.0622 0.6275
P 17.0608 3.1866 1.8826
W 0.0576 0.0108 0.0064
W 11.3163 2.1136 1.2487
```

Results
Calculated volume, Å³ per cell: 57.99
Space group: R-3m

=====

This record from the Alexandria database describes a geometry-optimized Cr2PW structure. The functional is GGA-PBE.

Structure (extended XYZ):
```
4
Lattice="-1.5388 1.4633 1.7556 -2.2823 -1.0957 -1.0872 0.2941 -5.0208 4.4428" Properties=species:S:1:pos:R:3 pbc="T T T"
P -1.8370 -1.0714 1.4449
Cr 0.0138 -0.2357 0.2085
Cr 0.1333 -2.2748 2.0129
W -1.6899 -3.5818 3.6663
```

Results
Calculated volume, Å³ per cell: 50.94
Space group: P4/mmm

=====

Calculated values (meV per atom) of DFT formation energy for the records, taken in order: 597.5, 258.5, 184.0, -205.5, 67.2, 183.8, 828.4, 124.5, 27.8, -375.1, 321.5, 49.8.